[1]
Below is an optimized crystal structure of Cs2NpPaN4, with properties calculated at the PBE-GGA level.

Formation energy from raw total energies   -0.870 eV/atom
N(E_F)   0.721 states/eV per atom
Size of the total moment   0.25 μB/atom
Calculated total energy   -8.05 eV/atom

a b c (Å): 3.6272 6.2030 7.3545
angles (deg): 105.83 90.00 90.00
Site moments in Bohr magnetons follow the coordinates.
Fractional positions:
Pa (0.5000, 0.5000, 0.0000)  -0.01
N (0.5000, 0.7872, 0.8596)  -0.09
Cs (0.0000, 0.5000, 0.5000)  0.01
Cs (0.5000, 0.0000, 0.5000)  0.01
N (0.0000, 0.2765, 0.8605)  -0.06
N (0.0000, 0.7235, 0.1395)  -0.06
Np (0.0000, 0.0000, 0.0000)  2.21
N (0.5000, 0.2128, 0.1404)  -0.09

=====

[2]
Below is an optimized crystal structure of Cs3NpPa2N6, with properties calculated at the PBE-GGA level.

Formation energy from raw total energies   -0.942 eV/atom
N(E_F)   0.598 states/eV per atom
Size of the total moment   0.17 μB/atom
Calculated total energy   -7.98 eV/atom

a b c (Å): 6.2650 6.2650 7.3835
angles (deg): 98.15 98.15 119.97
Site moments in Bohr magnetons follow the coordinates.
Fractional positions:
Cs (0.5000, 0.5000, 0.5000)  0.01
N (0.6260, 0.9532, 0.8598)  -0.05
Cs (0.8336, 0.1664, 0.5000)  0.01
N (0.3740, 0.0468, 0.1402)  -0.05
N (0.2808, 0.2808, 0.8593)  -0.05
N (0.7192, 0.7192, 0.1407)  -0.05
Np (0.0000, 0.0000, 0.0000)  2.16
N (0.0468, 0.3740, 0.1402)  -0.05
Pa (0.3334, 0.6666, 0.0000)  0.01
N (0.9532, 0.6260, 0.8598)  -0.05
Pa (0.6666, 0.3334, 0.0000)  0.01
Cs (0.1664, 0.8336, 0.5000)  0.01

=====

[3]
Below is an optimized crystal structure of Cs3NpPa3N8, with properties calculated at the PBE-GGA level.

Formation energy from raw total energies   -1.098 eV/atom
Size of the total moment   0.07 μB/atom
Calculated total energy   -8.47 eV/atom

a b c (Å): 7.1731 7.1731 8.2700
angles (deg): 115.73 90.00 120.00
Site moments in Bohr magnetons follow the coordinates.
Fractional positions:
Cs (0.5000, 0.5000, 0.0000)  0.00
N (0.2047, 0.9309, 0.6354)  -0.03
Pa (0.5000, 0.0000, 0.5000)  -0.02
N (0.2737, 0.0691, 0.3646)  -0.03
Pa (0.0000, 0.5000, 0.5000)  -0.02
Np (0.0000, 0.0000, 0.5000)  1.27
Cs (0.0000, 0.5000, 0.0000)  0.00
N (0.7953, 0.0691, 0.3646)  -0.03
N (0.7263, 0.9309, 0.6354)  -0.03
N (0.7954, 0.5907, 0.3646)  -0.03
Cs (0.0000, 0.0000, 0.0000)  0.00
N (0.2872, 0.5744, 0.3618)  0.00
N (0.2046, 0.4093, 0.6354)  -0.03
Pa (0.5000, 0.5000, 0.5000)  -0.02
N (0.7128, 0.4256, 0.6382)  0.00

=====

[4]
Below is an optimized crystal structure of CsRbNpN3, with properties calculated at the PBE-GGA level.

Formation energy from raw total energies   -0.421 eV/atom
Size of the total moment   0.00 μB/atom
Calculated total energy   -7.04 eV/atom

a b c (Å): 6.0592 6.7693 7.7867
angles (deg): 64.24 86.34 81.57
Fractional positions:
N (0.7500, 0.1942, 0.6116)
Cs (0.7500, 0.7511, 0.4978)
Cs (0.2500, 0.2489, 0.5022)
N (0.0072, 0.7916, 0.0798)
N (0.5072, 0.8714, 0.9202)
N (0.2500, 0.8058, 0.3884)
Np (0.2500, 0.9411, 0.1177)
Np (0.7500, 0.0589, 0.8823)
N (0.9928, 0.2084, 0.9202)
Rb (0.7500, 0.4129, 0.1742)
Rb (0.2500, 0.5871, 0.8258)
N (0.4928, 0.1286, 0.0798)

=====

[5]
Below is an optimized crystal structure of Cs2NpTc2N6, with properties calculated at the PBE-GGA level.

Formation energy from raw total energies   -0.259 eV/atom
N(E_F)   0.616 states/eV per atom
Size of the total moment   0.27 μB/atom
Calculated total energy   -8.02 eV/atom

a b c (Å): 6.3014 6.3014 7.1406
angles (deg): 63.82 63.82 60.00
Site moments in Bohr magnetons follow the coordinates.
Fractional positions:
N (0.2813, 0.7588, 0.2010)  -0.05
N (0.2412, 0.7187, 0.7990)  -0.05
Cs (0.7794, 0.7794, 0.6619)  0.00
Tc (0.4260, 0.4260, 0.7220)  0.24
N (0.7588, 0.7588, 0.2010)  -0.05
N (0.2412, 0.2412, 0.7990)  -0.05
Np (0.0000, 0.0000, 0.0000)  2.61
Cs (0.2206, 0.2206, 0.3381)  0.00
N (0.7588, 0.2813, 0.2010)  -0.05
N (0.7187, 0.2412, 0.7990)  -0.05
Tc (0.5740, 0.5740, 0.2780)  0.24

=====

[6]
Below is an optimized crystal structure of CsNpWN4, with properties calculated at the PBE-GGA level.

Formation energy from raw total energies   -0.531 eV/atom
N(E_F)   0.877 states/eV per atom
Size of the total moment   0.29 μB/atom
Calculated total energy   -9.11 eV/atom

a b c (Å): 5.9782 5.9602 10.3527
angles (deg): 90.00 126.28 90.00
Site moments in Bohr magnetons follow the coordinates.
Fractional positions:
N (0.0448, 0.4895, 0.6462)  -0.10
W (0.1701, 0.7500, 0.3576)  0.07
N (0.3412, 0.7500, 0.2514)  -0.10
N (0.6588, 0.2500, 0.7486)  -0.10
Cs (0.3650, 0.2500, 0.1189)  0.00
N (0.9552, 0.5105, 0.3538)  -0.10
Np (0.2262, 0.2500, 0.5354)  2.33
Cs (0.6350, 0.7500, 0.8811)  0.00
N (0.4895, 0.2500, 0.4466)  -0.08
N (0.9552, 0.9895, 0.3538)  -0.10
W (0.8299, 0.2500, 0.6424)  0.07
N (0.0448, 0.0105, 0.6462)  -0.10
Np (0.7738, 0.7500, 0.4646)  2.33
N (0.5105, 0.7500, 0.5534)  -0.08

=====

[7]
Below is an optimized crystal structure of Cs3N4O, with properties calculated at the PBE-GGA level.

Formation energy from raw total energies   -0.379 eV/atom
N(E_F)   0.572 states/eV per atom
Size of the total moment   0.13 μB/atom
Calculated total energy   -5.48 eV/atom

a b c (Å): 3.9149 6.5325 9.6493
angles (deg): 115.13 101.70 90.00
Site moments in Bohr magnetons follow the coordinates.
Fractional positions:
N (0.6750, 0.8174, 0.3500)  0.13
Cs (0.0000, 0.5000, 0.0000)  0.01
O (0.5000, 0.0000, 0.0000)  0.00
N (0.3352, 0.3695, 0.6704)  0.14
Cs (0.1211, 0.1575, 0.2421)  0.01
N (0.3250, 0.1826, 0.6500)  0.13
N (0.6648, 0.6305, 0.3296)  0.14
Cs (0.8789, 0.8425, 0.7579)  0.01

=====

[8]
Below is an optimized crystal structure of Cs2NO, with properties calculated at the PBE-GGA level.

Formation energy from raw total energies   0.398 eV/atom
N(E_F)   0.447 states/eV per atom
Size of the total moment   0.75 μB/atom
Calculated total energy   -3.35 eV/atom

a b c (Å): 5.2432 5.2432 5.2432
angles (deg): 60.00 60.00 60.00
Site moments in Bohr magnetons follow the coordinates.
Fractional positions:
O (0.5000, 0.5000, 0.5000)  0.60
N (0.0000, 0.0000, 0.0000)  1.46
Cs (0.2500, 0.2500, 0.2500)  0.03
Cs (0.7500, 0.7500, 0.7500)  0.03

=====

[9]
Below is an optimized crystal structure of Cs3NO, with properties calculated at the PBE-GGA level.

Formation energy from raw total energies   0.131 eV/atom
Offset from the most stable computed form   0 meV/atom
N(E_F)   2.207 states/eV per atom
Size of the total moment   0.36 μB/atom
Calculated total energy   -3.04 eV/atom

a b c (Å): 5.7678 5.7678 5.7678
angles (deg): 90.00 90.00 90.00
Site moments in Bohr magnetons follow the coordinates.
Fractional positions:
Cs (0.0000, 0.5000, 0.0000)  0.00
Cs (0.0000, 0.0000, 0.5000)  0.00
N (0.5000, 0.5000, 0.5000)  1.19
O (0.0000, 0.0000, 0.0000)  -0.01
Cs (0.5000, 0.0000, 0.0000)  0.01

=====

[10]
Below is an optimized crystal structure of CsN2O4, with properties calculated at the PBE-GGA level.

Formation energy from raw total energies   -0.373 eV/atom
N(E_F)   0.738 states/eV per atom
Size of the total moment   0.43 μB/atom
Calculated total energy   -5.71 eV/atom

a b c (Å): 5.7214 4.5387 5.7214
angles (deg): 97.06 88.54 82.94
Site moments in Bohr magnetons follow the coordinates.
Fractional positions:
N (0.4366, 0.9648, 0.5634)  0.00
O (0.4154, 0.4209, 0.0102)  0.61
O (0.9898, 0.4209, 0.5846)  0.61
Cs (0.0000, 0.0000, 0.0000)  0.00
O (0.5846, 0.5791, 0.9898)  0.61
O (0.0102, 0.5791, 0.4154)  0.61
N (0.5634, 0.0352, 0.4366)  0.00

=====

[11]
Below is an optimized crystal structure of CsOsN2O, with properties calculated at the PBE-GGA level.

Formation energy from raw total energies   3.301 eV/atom
N(E_F)   0.668 states/eV per atom
Size of the total moment   0.92 μB/atom
Calculated total energy   -3.44 eV/atom

a b c (Å): 4.3884 4.3884 4.3489
angles (deg): 90.00 90.00 90.00
Site moments in Bohr magnetons follow the coordinates.
Fractional positions:
N (0.5000, 0.0000, 0.0000)  0.20
N (0.0000, 0.5000, 0.0000)  0.20
O (0.0000, 0.0000, 0.5000)  0.19
Os (0.5000, 0.5000, 0.5000)  3.49
Cs (0.0000, 0.0000, 0.0000)  -0.01

=====

[12]
Below is an optimized crystal structure of CsOsN2O, with properties calculated at the PBE-GGA level.

Formation energy from raw total energies   0.274 eV/atom
N(E_F)   0.659 states/eV per atom
Size of the total moment   0.07 μB/atom
Calculated total energy   -6.46 eV/atom

a b c (Å): 3.9708 3.9708 4.2449
angles (deg): 90.00 90.00 90.00
Site moments in Bohr magnetons follow the coordinates.
Fractional positions:
N (0.0000, 0.5000, 0.0000)  0.13
Cs (0.5000, 0.5000, 0.5000)  0.01
O (0.0000, 0.0000, 0.5000)  0.00
Os (0.0000, 0.0000, 0.0000)  -0.02
N (0.5000, 0.0000, 0.0000)  0.13